Entry from the Alexandria database: a relaxed Ba3FeO5 crystal (PBE with a Hubbard U).

Computed properties:
Size of the total moment (μB per cell): 15.97
Energy (eV per atom): -6.180

Structure (CIF):
```
data_Ba3FeO5
_cell_length_a 7.358
_cell_length_b 7.358
_cell_length_c 11.979
_cell_angle_alpha 90.00
_cell_angle_beta 90.00
_cell_angle_gamma 90.00
_space_group_name_H-M_alt 'I 4/m c m'
_space_group_IT_number 140
_space_group_name_Hall '-I 4 2c'
loop_
_atom_site_label
_atom_site_fract_x
_atom_site_fract_y
_atom_site_fract_z
_atom_site_occupancy
Ba1 0.000 0.000 0.250 1
Ba2 0.175 0.325 0.000 1
Fe1 0.000 0.500 0.250 1
O1 0.000 0.000 0.000 1
O2 0.138 0.362 0.349 1
```